No. 1
Entry from Alexandria: a relaxed structure of CrCdAsRh2 (PBE).

Cell lengths 4.437, 4.997, 4.437 Å; angles 90.00, 90.00, 90.00 degrees
Site moments in Bohr magnetons follow the coordinates.
Sites, in units of the cell vectors:
1 Cr 0.000 0.000 0.000  1.36
2 As 0.500 0.500 0.500  0.04
3 Rh 0.000 0.000 0.500  -0.09
4 Rh 0.500 0.000 0.000  -0.03
5 Cd 0.000 0.500 0.000  0.01

Calculated values
- Total energy: -5.031 eV per atom

=====

No. 2
Entry from Alexandria: a relaxed structure of CrCdAsSe2 (PBE).

Cell lengths 4.819, 4.819, 4.693 Å; angles 90.00, 90.00, 90.00 degrees
Sites, in units of the cell vectors:
1 Cr 0.000 0.000 0.000
2 As 0.000 0.000 0.500
3 Se 0.000 0.500 0.000
4 Se 0.500 0.000 0.000
5 Cd 0.500 0.500 0.500

Calculated values
- E_form (uncorrected): 0.242 eV per atom
- Total energy: -4.190 eV per atom

=====

No. 3
Entry from Alexandria: a relaxed structure of SrCrCdAs2 (PBE).

Cell lengths 4.751, 5.103, 4.751 Å; angles 90.00, 90.00, 90.00 degrees
Sites, in units of the cell vectors:
1 Sr 0.500 0.500 0.500
2 As 0.000 0.000 0.500
3 As 0.500 0.000 0.000
4 Cr 0.000 0.000 0.000
5 Cd 0.000 0.500 0.000

Calculated values
- Total energy: -4.502 eV per atom

=====

No. 4
Entry from Alexandria: a relaxed structure of CrCdTc2As (PBE).

Cell lengths 4.551, 4.487, 4.551 Å; angles 90.00, 90.00, 90.00 degrees
Site moments in Bohr magnetons follow the coordinates.
Sites, in units of the cell vectors:
1 Cr 0.000 0.000 0.000  -0.25
2 As 0.000 0.500 0.000  0.00
3 Tc 0.000 0.000 0.500  0.72
4 Tc 0.500 0.000 0.000  0.78
5 Cd 0.500 0.500 0.500  -0.02

Calculated values
- Total energy: -6.200 eV per atom

=====

> Look up the total energy of the first one.

-5.031 eV per atom